# 1
This record from Alexandria via LeMat-Bulk describes crystalline CaSiRh at its relaxed geometry. The functional is PBE.

Values from the calculation:
The calculated volume comes out at 61 Å³/cell. Its space-group type is F-43m, No. 216. The raw formation energy comes out at -0.2992 eV per atom. Its magnetic moment is 0.00 μB/f.u.

a b c (Å): 4.418 4.418 4.418
angles (deg): 60.00 60.00 60.00
Fractional positions:
Ca (0.000, 0.000, 0.000)
Si (0.500, 0.500, 0.500)
Rh (0.750, 0.750, 0.750)

***

# 2
This record from Alexandria via LeMat-Bulk describes crystalline Ca2SiRh at its relaxed geometry. The functional is PBE.

Values from the calculation:
The calculated volume comes out at 77 Å³/cell. Its space-group type is I-4m2, No. 119. The raw formation energy comes out at -0.2843 eV per atom. Its magnetic moment is 0.00 μB/f.u.

a b c (Å): 4.780 4.780 4.780
angles (deg): 119.92 119.92 90.13
Fractional positions:
Ca (0.000, 0.000, 0.000)
Ca (0.750, 0.250, 0.500)
Si (0.500, 0.500, 0.000)
Rh (0.250, 0.750, 0.500)

***

# 3
This record from Alexandria via LeMat-Bulk describes crystalline CaSi4Rh4 at its relaxed geometry. The functional is PBE.

Values from the calculation:
The calculated volume comes out at 305 Å³/cell. Its space-group type is P4_2/n, No. 86. The raw formation energy comes out at -0.7129 eV per atom. Its magnetic moment is 0.00 μB/f.u.

a b c (Å): 8.025 8.025 4.740
angles (deg): 90.00 90.00 90.00
Fractional positions:
Ca (0.250, 0.250, 0.250)
Ca (0.750, 0.750, 0.750)
Si (0.064, 0.902, 0.164)
Si (0.098, 0.564, 0.664)
Si (0.402, 0.936, 0.664)
Si (0.436, 0.598, 0.164)
Si (0.564, 0.402, 0.836)
Si (0.598, 0.064, 0.336)
Si (0.902, 0.436, 0.336)
Si (0.936, 0.098, 0.836)
Rh (0.115, 0.883, 0.658)
Rh (0.117, 0.615, 0.158)
Rh (0.383, 0.885, 0.158)
Rh (0.385, 0.617, 0.658)
Rh (0.615, 0.383, 0.342)
Rh (0.617, 0.115, 0.842)
Rh (0.883, 0.385, 0.842)
Rh (0.885, 0.117, 0.342)

***

# 4
This record from Alexandria via LeMat-Bulk describes crystalline CaSi4Rh at its relaxed geometry. The functional is PBE.

Values from the calculation:
The calculated volume comes out at 97 Å³/cell. Its space-group type is F-43m, No. 216. The raw formation energy comes out at 0.0996 eV per atom. Its magnetic moment is 0.00 μB/f.u. As for the polymorph energy (0 for the lowest one): 546 meV/atom.

a b c (Å): 5.165 5.165 5.165
angles (deg): 60.00 60.00 60.00
Fractional positions:
Ca (0.000, 0.000, 0.000)
Si (0.376, 0.376, 0.376)
Si (0.376, 0.376, 0.872)
Si (0.376, 0.872, 0.376)
Si (0.872, 0.376, 0.376)
Rh (0.750, 0.750, 0.750)